1.
# ZrTlZn2Hg, relaxed, DFT PBE-GGA
data_ZrTlZn2Hg
_symmetry_space_group_name_H-M 'P 4/m m m'
_symmetry_Int_Tables_number 123
_symmetry_space_group_name_Hall '-P 4 2'
_cell_length_a 5.435
_cell_length_b 5.435
_cell_length_c 5.822
_cell_angle_alpha 90.00
_cell_angle_beta 90.00
_cell_angle_gamma 90.00
loop_
_atom_site_label
_atom_site_type_symbol
_atom_site_fract_x
_atom_site_fract_y
_atom_site_fract_z
Zr1 Zr 0.000 0.000 0.000
Tl1 Tl 0.000 0.000 0.500
Zn1 Zn 0.000 0.500 0.000
Hg1 Hg 0.500 0.500 0.500
# Calculated formation energy in meV/atom: 755
# E_tot in eV/atom: -1.997


2.
# ZrTl3Hg, relaxed, DFT PBE-GGA
data_ZrTl3Hg
_symmetry_space_group_name_H-M 'P m -3 m'
_symmetry_Int_Tables_number 221
_symmetry_space_group_name_Hall '-P 4 2 3'
_cell_length_a 5.535
_cell_length_b 5.535
_cell_length_c 5.535
_cell_angle_alpha 90.00
_cell_angle_beta 90.00
_cell_angle_gamma 90.00
loop_
_atom_site_label
_atom_site_type_symbol
_atom_site_fract_x
_atom_site_fract_y
_atom_site_fract_z
Zr1 Zr 0.000 0.000 0.000
Tl1 Tl 0.000 0.500 0.500
Hg1 Hg 0.500 0.500 0.500
# Calculated formation energy in meV/atom: 891
# E above lowest polymorph in meV per atom: 405
# E_tot in eV/atom: -2.299


3.
# ZrTl2Hg, relaxed, DFT PBE-GGA
data_ZrTl2Hg
_symmetry_space_group_name_H-M 'P 4 m m'
_symmetry_Int_Tables_number 99
_cell_length_a 3.313
_cell_length_b 3.313
_cell_length_c 9.375
_cell_angle_alpha 90.00
_cell_angle_beta 90.00
_cell_angle_gamma 90.00
loop_
_symmetry_equiv_pos_as_xyz
'x,y,z'
'-y,x,z'
'-x,-y,z'
'y,-x,z'
'-x,y,z'
'y,x,z'
'x,-y,z'
'-y,-x,z'
loop_
_atom_site_label
_atom_site_type_symbol
_atom_site_fract_x
_atom_site_fract_y
_atom_site_fract_z
Zr1 Zr 0.000 0.000 0.000
Tl1 Tl 0.000 0.000 0.482
Tl2 Tl 0.500 0.500 0.772
Hg1 Hg 0.500 0.500 0.209
# Calculated formation energy in meV/atom: 40
# E above lowest polymorph in meV per atom: 25
# E_tot in eV/atom: -3.356


4.
# Zr2TlHg, relaxed, DFT PBE-GGA
data_Zr2TlHg
_symmetry_space_group_name_H-M 'I -4 2 d'
_symmetry_Int_Tables_number 122
_symmetry_space_group_name_Hall 'I -4 2bw'
_cell_length_a 7.975
_cell_length_b 7.975
_cell_length_c 6.108
_cell_angle_alpha 90.00
_cell_angle_beta 90.00
_cell_angle_gamma 90.00
loop_
_atom_site_label
_atom_site_type_symbol
_atom_site_fract_x
_atom_site_fract_y
_atom_site_fract_z
Zr1 Zr 0.244 0.250 0.125
Tl1 Tl 0.000 0.000 0.500
Hg1 Hg 0.000 0.000 0.000
# Calculated formation energy in meV/atom: 178
# E_tot in eV/atom: -4.763


5.
# Zr2TlHg, relaxed, DFT PBE-GGA
data_Zr2TlHg
_symmetry_space_group_name_H-M 'C m m m'
_symmetry_Int_Tables_number 65
_symmetry_space_group_name_Hall '-C 2 2'
_cell_length_a 6.417
_cell_length_b 8.682
_cell_length_c 3.185
_cell_angle_alpha 90.00
_cell_angle_beta 90.00
_cell_angle_gamma 90.00
loop_
_atom_site_label
_atom_site_type_symbol
_atom_site_fract_x
_atom_site_fract_y
_atom_site_fract_z
Zr1 Zr 0.250 0.250 0.000
Tl1 Tl 0.000 0.000 0.500
Hg1 Hg 0.000 0.500 0.500
# Calculated formation energy in meV/atom: -135
# E_tot in eV/atom: -5.076


6.
# Zr4TlHg5, relaxed, DFT PBE-GGA
data_Zr4TlHg5
_symmetry_space_group_name_H-M 'C 1 2/m 1'
_symmetry_Int_Tables_number 12
_cell_length_a 15.436
_cell_length_b 4.671
_cell_length_c 7.592
_cell_angle_alpha 90.00
_cell_angle_beta 118.77
_cell_angle_gamma 90.00
loop_
_symmetry_equiv_pos_as_xyz
'x,y,z'
'-x,-y,-z'
'-x,y,-z'
'x,-y,z'
'x+1/2,y+1/2,z'
'-x+1/2,-y+1/2,-z'
'-x+1/2,y+1/2,-z'
'x+1/2,-y+1/2,z'
loop_
_atom_site_label
_atom_site_type_symbol
_atom_site_fract_x
_atom_site_fract_y
_atom_site_fract_z
Zr1 Zr 0.036 0.000 0.288
Zr2 Zr 0.184 0.500 0.438
Tl1 Tl 0.000 0.500 0.000
Hg1 Hg 0.000 0.500 0.500
Hg2 Hg 0.170 0.000 0.731
Hg3 Hg 0.171 0.000 0.109
# Calculated formation energy in meV/atom: -1
# E_tot in eV/atom: -3.808


7.
# ZrTl2Hg, relaxed, DFT PBE-GGA
data_ZrTl2Hg
_symmetry_space_group_name_H-M 'P m m 2'
_symmetry_Int_Tables_number 25
_cell_length_a 3.393
_cell_length_b 4.470
_cell_length_c 6.540
_cell_angle_alpha 90.00
_cell_angle_beta 90.00
_cell_angle_gamma 90.00
loop_
_symmetry_equiv_pos_as_xyz
'x,y,z'
'-x,-y,z'
'-x,y,z'
'x,-y,z'
loop_
_atom_site_label
_atom_site_type_symbol
_atom_site_fract_x
_atom_site_fract_y
_atom_site_fract_z
Zr1 Zr 0.000 0.000 0.000
Tl1 Tl 0.000 0.000 0.489
Tl2 Tl 0.500 0.500 0.768
Hg1 Hg 0.500 0.500 0.231
# Calculated formation energy in meV/atom: 88
# E above lowest polymorph in meV per atom: 73
# E_tot in eV/atom: -3.307


8.
# Zr6Tl3Hg, relaxed, DFT PBE-GGA
data_Zr6Tl3Hg
_symmetry_space_group_name_H-M 'P 1 21/m 1'
_symmetry_Int_Tables_number 11
_cell_length_a 8.700
_cell_length_b 5.065
_cell_length_c 10.759
_cell_angle_alpha 90.00
_cell_angle_beta 106.78
_cell_angle_gamma 90.00
loop_
_symmetry_equiv_pos_as_xyz
'x,y,z'
'-x,-y,-z'
'-x,y+1/2,-z'
'x,-y+1/2,z'
loop_
_atom_site_label
_atom_site_type_symbol
_atom_site_fract_x
_atom_site_fract_y
_atom_site_fract_z
Zr1 Zr 0.047 0.250 0.406
Zr2 Zr 0.152 0.750 0.198
Zr3 Zr 0.263 0.250 0.008
Zr4 Zr 0.344 0.250 0.300
Zr5 Zr 0.358 0.750 0.807
Zr6 Zr 0.445 0.250 0.602
Tl1 Tl 0.042 0.750 0.894
Tl2 Tl 0.153 0.250 0.708
Tl3 Tl 0.265 0.750 0.495
Hg1 Hg 0.447 0.750 0.112
# Calculated formation energy in meV/atom: -59
# E above lowest polymorph in meV per atom: 0
# E_tot in eV/atom: -5.928


9.
# ZrTl2Hg, relaxed, DFT PBE-GGA
data_ZrTl2Hg
_symmetry_space_group_name_H-M 'P 4/m m m'
_symmetry_Int_Tables_number 123
_symmetry_space_group_name_Hall '-P 4 2'
_cell_length_a 4.601
_cell_length_b 4.601
_cell_length_c 4.472
_cell_angle_alpha 90.00
_cell_angle_beta 90.00
_cell_angle_gamma 90.00
loop_
_atom_site_label
_atom_site_type_symbol
_atom_site_fract_x
_atom_site_fract_y
_atom_site_fract_z
Zr1 Zr 0.000 0.000 0.000
Tl1 Tl 0.000 0.500 0.500
Hg1 Hg 0.500 0.500 0.000
# Calculated formation energy in meV/atom: 15
# E above lowest polymorph in meV per atom: 0
# E_tot in eV/atom: -3.380


10.
# ZrTlHg, relaxed, DFT PBE-GGA
data_ZrTlHg
_symmetry_space_group_name_H-M 'F m m 2'
_symmetry_Int_Tables_number 42
_symmetry_space_group_name_Hall 'F 2 -2'
_cell_length_a 3.448
_cell_length_b 5.590
_cell_length_c 15.089
_cell_angle_alpha 90.00
_cell_angle_beta 90.00
_cell_angle_gamma 90.00
loop_
_atom_site_label
_atom_site_type_symbol
_atom_site_fract_x
_atom_site_fract_y
_atom_site_fract_z
Zr1 Zr 0.000 0.000 0.000
Tl1 Tl 0.000 0.000 0.331
Hg1 Hg 0.000 0.000 0.661
# Calculated formation energy in meV/atom: 63
# E above lowest polymorph in meV per atom: 34
# E_tot in eV/atom: -3.676


11.
# ZrTl2Hg, relaxed, DFT PBE-GGA
data_ZrTl2Hg
_symmetry_space_group_name_H-M 'C 1 2/m 1'
_symmetry_Int_Tables_number 12
_cell_length_a 11.469
_cell_length_b 3.966
_cell_length_c 4.738
_cell_angle_alpha 90.00
_cell_angle_beta 114.21
_cell_angle_gamma 90.00
loop_
_symmetry_equiv_pos_as_xyz
'x,y,z'
'-x,-y,-z'
'-x,y,-z'
'x,-y,z'
'x+1/2,y+1/2,z'
'-x+1/2,-y+1/2,-z'
'-x+1/2,y+1/2,-z'
'x+1/2,-y+1/2,z'
loop_
_atom_site_label
_atom_site_type_symbol
_atom_site_fract_x
_atom_site_fract_y
_atom_site_fract_z
Zr1 Zr 0.000 0.000 0.000
Tl1 Tl 0.243 0.500 0.243
Hg1 Hg 0.000 0.500 0.500
# Calculated formation energy in meV/atom: 112
# E above lowest polymorph in meV per atom: 96
# E_tot in eV/atom: -3.284


12.
# ZrTlHg3, relaxed, DFT PBE-GGA
data_ZrTlHg3
_symmetry_space_group_name_H-M 'P m -3 m'
_symmetry_Int_Tables_number 221
_symmetry_space_group_name_Hall '-P 4 2 3'
_cell_length_a 5.657
_cell_length_b 5.657
_cell_length_c 5.657
_cell_angle_alpha 90.00
_cell_angle_beta 90.00
_cell_angle_gamma 90.00
loop_
_atom_site_label
_atom_site_type_symbol
_atom_site_fract_x
_atom_site_fract_y
_atom_site_fract_z
Zr1 Zr 0.000 0.000 0.000
Tl1 Tl 0.500 0.500 0.500
Hg1 Hg 0.000 0.000 0.500
# Calculated formation energy in meV/atom: 452
# E above lowest polymorph in meV per atom: 0
# E_tot in eV/atom: -1.912


13.
# ZrTl2Hg, relaxed, DFT PBE-GGA
data_ZrTl2Hg
_symmetry_space_group_name_H-M 'I -4 2 d'
_symmetry_Int_Tables_number 122
_symmetry_space_group_name_Hall 'I -4 2bw'
_cell_length_a 8.095
_cell_length_b 8.095
_cell_length_c 6.300
_cell_angle_alpha 90.00
_cell_angle_beta 90.00
_cell_angle_gamma 90.00
loop_
_atom_site_label
_atom_site_type_symbol
_atom_site_fract_x
_atom_site_fract_y
_atom_site_fract_z
Zr1 Zr 0.000 0.000 0.000
Tl1 Tl 0.242 0.250 0.625
Hg1 Hg 0.000 0.000 0.500
# Calculated formation energy in meV/atom: 239
# E above lowest polymorph in meV per atom: 224
# E_tot in eV/atom: -3.156